Entry 1:
Material: Pm2GeCl8
Method: DFT, PBE
State: relaxed

Output
**E**: -48.022 eV for the cell shown
**Space group**: C2/m, No. 12
**Raw formation energy**: -1845.8 kJ/mol of formula units
**Volume**: 35.23 Å³ per atom
**ρ**: 2.77 Mg/m³

Lattice parameters (Å, degrees): 8.316 7.758 7.758 50.82 87.35 87.35
Fractional positions:
Cl 0.478 0.676 0.676
Cl 0.683 0.936 0.936
Cl 0.522 0.324 0.324
Cl 0.861 0.377 0.869
Cl 0.139 0.131 0.623
Cl 0.861 0.869 0.377
Cl 0.317 0.064 0.064
Cl 0.139 0.623 0.131
Pm 0.383 0.858 0.858
Pm 0.617 0.142 0.142
Ge 0.000 0.000 0.000

***

Entry 2:
Material: KHfCr3
Method: DFT, PBE
State: relaxed

Output
**E**: -32.054 eV for the cell shown
**Energy above the lowest structure with this stoichiometry**: 0.0 meV per atom
**Space group**: Pm-3m, No. 221
**Formation enthalpy at 0 K**: 1.573 eV/atom
**Volume**: 26.44 Å³ per atom
**ρ**: 4.69 Mg/m³

Lattice parameters (Å, degrees): 5.094 5.094 5.094 90.00 90.00 90.00
Fractional positions:
Hf 0.000 0.000 0.000
Cr 0.500 0.000 0.000
Cr 0.000 0.000 0.500
Cr 0.000 0.500 0.000
K 0.500 0.500 0.500

***

Entry 3:
Material: ScTiCu
Method: DFT, PBE
State: relaxed

Output
**E**: -74.288 eV for the cell shown
**Energy above the lowest structure with this stoichiometry**: 0.0 meV per atom
**Space group**: Pnma, No. 62
**Formation enthalpy at 0 K**: -0.083 eV/atom
**Volume**: 17.73 Å³ per atom
**ρ**: 4.88 Mg/m³

Lattice parameters (Å, degrees): 6.403 4.344 7.649 90.00 90.00 90.00
Fractional positions:
Cu 0.261 0.250 0.106
Cu 0.761 0.250 0.394
Cu 0.739 0.750 0.894
Cu 0.239 0.750 0.606
Ti 0.850 0.750 0.573
Ti 0.350 0.750 0.927
Ti 0.150 0.250 0.427
Ti 0.650 0.250 0.073
Sc 0.980 0.750 0.186
Sc 0.480 0.750 0.314
Sc 0.020 0.250 0.814
Sc 0.520 0.250 0.686

***

- What is the ρ in the third record?
  4.88 Mg/m³